DFT (PBE-GGA) results for a relaxed structure of YEr2Pt.

Cell: 3.548 3.548 8.377 Å, 90.00 90.00 90.00°
Atoms (fractional coordinates):
1 Er 0.000 0.000 0.194
2 Er 0.000 0.000 0.806
3 Y 0.500 0.500 0.500
4 Pt 0.500 0.500 0.000

## Properties
ΔH_f (0 K) (eV per atom): -0.6132

=====

DFT (PBE-GGA) results for a relaxed structure of K3TiS3.

Cell: 7.799 7.799 7.680 Å, 97.45 97.45 113.99°
Atoms (fractional coordinates):
1 K 0.736 0.264 0.000
2 K 0.264 0.736 0.000
3 K 0.611 0.611 0.358
4 K 0.389 0.389 0.642
5 K 0.174 0.826 0.500
6 K 0.826 0.174 0.500
7 S 0.853 0.565 0.730
8 S 0.109 0.109 0.821
9 S 0.565 0.853 0.730
10 S 0.891 0.891 0.179
11 S 0.147 0.435 0.270
12 S 0.435 0.147 0.270
13 Ti 0.157 0.157 0.138
14 Ti 0.843 0.843 0.862

## Properties
Uncorrected formation energy (eV per atom): -1.30

=====

DFT (PBE-GGA) results for a relaxed structure of TcAg2As.

Cell: 3.124 4.322 4.942 Å, 90.00 90.00 90.00°
Atoms (fractional coordinates):
1 Ag 0.500 0.500 0.000
2 Ag 0.000 0.000 0.000
3 As 0.500 0.000 0.500
4 Tc 0.000 0.500 0.500

## Properties
ΔH_f (0 K) (eV per atom): 0.3824

=====

DFT (PBE-GGA) results for a relaxed structure of MgH2SeO5.

Cell: 5.425 5.425 7.760 Å, 73.58 73.58 99.72°
Atoms (fractional coordinates):
1 Se 0.581 0.419 0.250
2 Se 0.419 0.581 0.750
3 O 0.712 0.322 0.419
4 O 0.124 0.876 0.250
5 O 0.678 0.288 0.081
6 O 0.754 0.684 0.653
7 O 0.876 0.124 0.750
8 O 0.684 0.754 0.153
9 O 0.246 0.316 0.347
10 O 0.316 0.246 0.847
11 O 0.322 0.712 0.919
12 O 0.288 0.678 0.581
13 H 0.136 0.032 0.295
14 H 0.864 0.968 0.705
15 H 0.032 0.136 0.795
16 H 0.968 0.864 0.205
17 Mg 0.500 0.000 0.000
18 Mg 0.000 0.500 0.500

=====

DFT (PBE-GGA) results for a relaxed structure of Na3IrPt3O8.

Cell: 6.251 6.631 6.198 Å, 115.80 90.00 118.12°
Atoms (fractional coordinates):
1 Pt 0.500 0.500 0.500
2 Pt 0.000 0.500 0.500
3 Pt 0.500 0.000 0.500
4 O 0.217 0.435 0.256
5 O 0.787 0.090 0.338
6 O 0.697 0.910 0.662
7 O 0.792 0.583 0.325
8 O 0.303 0.090 0.338
9 O 0.208 0.417 0.675
10 O 0.783 0.565 0.744
11 O 0.213 0.910 0.662
12 Na 0.000 0.500 0.000
13 Na 0.000 0.000 0.000
14 Na 0.500 0.500 0.000
15 Ir 0.000 0.000 0.500

## Properties
Uncorrected formation energy (eV per atom): -0.82

=====

DFT (PBE-GGA) results for a relaxed structure of Tb2HoAl.

Cell: 5.349 5.349 5.349 Å, 60.00 60.00 60.00°
Atoms (fractional coordinates):
1 Al 0.500 0.500 0.500
2 Ho 0.000 0.000 0.000
3 Tb 0.750 0.750 0.750
4 Tb 0.250 0.250 0.250

## Properties
ΔH_f (0 K) (eV per atom): -0.0561

=====

DFT (PBE-GGA) results for a relaxed structure of CaSiAg.

Cell: 4.658 4.658 4.658 Å, 60.00 60.00 60.00°
Atoms (fractional coordinates):
1 Si 0.250 0.250 0.250
2 Ag 0.000 0.000 0.000
3 Ca 0.500 0.500 0.500

## Properties
Uncorrected formation energy (eV per atom): -0.08

=====

DFT (PBE-GGA) results for a relaxed structure of BaSbBr2.

Cell: 4.853 4.853 6.470 Å, 90.00 90.00 90.00°
Each line ends with the local moment (μB).
Atoms (fractional coordinates):
1 Br 0.000 0.000 0.961  0.04
2 Br 0.500 0.500 0.247  0.06
3 Ba 0.500 0.500 0.745  0.03
4 Sb 0.000 0.000 0.547  0.24

## Properties
Uncorrected formation energy (eV per atom): -0.92

=====

DFT (PBE-GGA) results for a relaxed structure of MoPtRh2.

Cell: 4.623 2.709 4.841 Å, 88.54 90.00 90.00°
Atoms (fractional coordinates):
1 Rh 0.000 0.494 0.497
2 Rh 0.000 0.006 0.003
3 Pt 0.500 0.750 0.750
4 Mo 0.500 0.250 0.250

## Properties
ΔH_f (0 K) (eV per atom): 0.0342

=====

DFT (PBE-GGA) results for a relaxed structure of EuTl4Sn.

Cell: 6.432 6.432 6.432 Å, 60.00 60.00 60.00°
Each line ends with the local moment (μB).
Atoms (fractional coordinates):
1 Tl 0.626 0.626 0.123  -0.01
2 Tl 0.626 0.123 0.626  -0.01
3 Tl 0.123 0.626 0.626  -0.01
4 Tl 0.626 0.626 0.626  -0.01
5 Sn 0.000 0.000 0.000  -0.02
6 Eu 0.250 0.250 0.250  6.92

## Properties
ΔH_f (0 K) (eV per atom): -0.0628

=====

DFT (PBE-GGA) results for a relaxed structure of Ho5ErTl.

Cell: 5.892 8.410 7.678 Å, 123.21 112.56 90.00°
Atoms (fractional coordinates):
1 Ho 0.411 0.827 0.000
2 Ho 0.156 0.500 0.000
3 Ho 0.251 0.249 0.498
4 Ho 0.754 0.751 0.502
5 Ho 0.411 0.173 0.000
6 Er 0.664 0.500 0.000
7 Tl 0.883 0.000 0.000

## Properties
ΔH_f (0 K) (eV per atom): 0.8257

=====

DFT (PBE-GGA) results for a relaxed structure of SrGa2Sn.

Cell: 4.864 4.864 10.747 Å, 76.92 76.92 90.00°
Atoms (fractional coordinates):
1 Sn 0.750 0.250 0.500
2 Sn 0.000 0.000 0.000
3 Ga 0.782 0.125 0.250
4 Ga 0.968 0.625 0.250
5 Ga 0.375 0.218 0.750
6 Ga 0.875 0.032 0.750
7 Sr 0.500 0.500 0.000
8 Sr 0.250 0.750 0.500

## Properties
ΔH_f (0 K) (eV per atom): -0.1844

=====

DFT (PBE-GGA) results for a relaxed structure of Dy2Ho6Er.

Cell: 3.520 8.607 12.675 Å, 132.78 82.03 90.05°
Atoms (fractional coordinates):
1 Dy 0.445 0.778 0.111
2 Dy 0.555 0.222 0.889
3 Ho 0.778 0.112 0.445
4 Ho 0.111 0.444 0.777
5 Ho 0.889 0.556 0.223
6 Ho 0.334 0.333 0.333
7 Ho 0.222 0.888 0.555
8 Ho 0.666 0.667 0.667
9 Er 0.000 0.000 0.000

## Properties
ΔH_f (0 K) (eV per atom): 0.0192

=====

DFT (PBE-GGA) results for a relaxed structure of CaAc2Sn3Pd6.

Cell: 4.262 4.262 17.593 Å, 90.00 90.00 90.00°
Atoms (fractional coordinates):
1 Sn 0.000 0.000 0.296
2 Sn 0.000 0.000 0.704
3 Sn 0.000 0.000 0.000
4 Pd 0.000 0.000 0.145
5 Pd 0.000 0.500 0.618
6 Pd 0.000 0.500 0.382
7 Pd 0.500 0.000 0.382
8 Pd 0.000 0.000 0.855
9 Pd 0.500 0.000 0.618
10 Ac 0.500 0.500 0.824
11 Ac 0.500 0.500 0.176
12 Ca 0.500 0.500 0.500

## Properties
ΔH_f (0 K) (eV per atom): -0.4975

=====

DFT (PBE-GGA) results for a relaxed structure of CdSbIr2Cl.

Cell: 4.487 5.299 4.487 Å, 90.00 90.00 90.00°
Each line ends with the local moment (μB).
Atoms (fractional coordinates):
1 Ir 0.000 0.000 0.500  0.11
2 Ir 0.500 0.000 0.000  0.13
3 Cd 0.000 0.500 0.000  0.00
4 Sb 0.500 0.500 0.500  0.00
5 Cl 0.000 0.000 0.000  0.01

## Properties
Uncorrected formation energy (eV per atom): 1.18

=====

DFT (PBE-GGA) results for a relaxed structure of KBaTa2.

Cell: 6.236 2.998 6.283 Å, 75.96 90.00 90.00°
Atoms (fractional coordinates):
1 Ta 0.000 0.919 0.938
2 Ta 0.000 0.581 0.562
3 K 0.500 0.750 0.750
4 Ba 0.500 0.250 0.250

## Properties
ΔH_f (0 K) (eV per atom): 1.3498

=====

DFT (PBE-GGA) results for a relaxed structure of BPIrRhAu.

Cell: 3.898 3.905 6.644 Å, 80.89 73.38 89.99°
Atoms (fractional coordinates):
1 Au 0.507 0.672 0.262
2 B 0.659 0.034 0.969
3 Ir 0.724 0.566 0.836
4 P 0.322 0.617 0.635
5 Rh 0.226 0.066 0.832

## Properties
ΔH_f (0 K) (eV per atom): -0.2106

=====

DFT (PBE-GGA) results for a relaxed structure of WAu.

Cell: 8.208 8.208 8.208 Å, 90.00 90.00 90.00°
Atoms (fractional coordinates):
1 W 0.609 0.391 0.391
2 W 0.391 0.609 0.391
3 W 0.891 0.109 0.891
4 W 0.609 0.609 0.609
5 W 0.109 0.109 0.109
6 W 0.891 0.891 0.109
7 W 0.109 0.891 0.891
8 W 0.391 0.391 0.609
9 Au 0.795 0.205 0.205
10 Au 0.205 0.205 0.795
11 Au 0.795 0.795 0.795
12 Au 0.295 0.295 0.295
13 Au 0.705 0.295 0.705
14 Au 0.295 0.705 0.705
15 Au 0.205 0.795 0.205
16 Au 0.705 0.705 0.295

## Properties
ΔH_f (0 K) (eV per atom): 1.4228

=====

DFT (PBE-GGA) results for a relaxed structure of TmCrCl.

Cell: 4.754 6.105 12.638 Å, 145.05 124.35 38.86°
Each line ends with the local moment (μB).
Atoms (fractional coordinates):
1 Cl 0.037 0.225 0.625  0.00
2 Cl 0.944 0.093 0.809  0.00
3 Tm 0.942 0.303 0.414  -0.07
4 Tm 0.639 0.014 0.019  0.07
5 Cr 0.582 0.733 0.129  2.53
6 Cr 0.994 0.585 0.305  -2.53

## Properties
Uncorrected formation energy (eV per atom): -0.66

=====

DFT (PBE-GGA) results for a relaxed structure of RbTl3Ge4O12.

Cell: 7.381 7.381 7.381 Å, 105.60 105.60 105.60°
Atoms (fractional coordinates):
1 Tl 0.551 0.449 0.000
2 Tl 0.449 0.000 0.551
3 Tl 0.000 0.551 0.449
4 O 0.500 0.094 0.906
5 O 0.959 0.211 0.365
6 O 0.352 0.648 0.500
7 O 0.648 0.500 0.352
8 O 0.041 0.635 0.789
9 O 0.789 0.041 0.635
10 O 0.500 0.352 0.648
11 O 0.365 0.959 0.211
12 O 0.906 0.500 0.094
13 O 0.211 0.365 0.959
14 O 0.635 0.789 0.041
15 O 0.094 0.906 0.500
16 Ge 0.946 0.054 0.500
17 Ge 0.500 0.500 0.500
18 Ge 0.500 0.946 0.054
19 Ge 0.054 0.500 0.946
20 Rb 0.000 0.000 0.000

## Properties
Uncorrected formation energy (eV per atom): -1.09

=====

| no. | VASP energy (hartree per atom) |
| --- | --- |
| 1 | -0.2213 |
| 2 | -0.1714 |
| 3 | -0.1763 |
| 4 | -0.1978 |
| 5 | -0.2031 |
| 6 | -0.1636 |
| 7 | -0.1290 |
| 8 | -0.1200 |
| 9 | -0.2888 |
| 10 | -0.1477 |
| 11 | -0.1262 |
| 12 | -0.1146 |
| 13 | -0.1677 |
| 14 | -0.1818 |
| 15 | -0.1375 |
| 16 | -0.1959 |
| 17 | -0.2398 |
| 18 | -0.2459 |
| 19 | -0.2196 |
| 20 | -0.1982 |